(one)
An optimized crystal structure of TaMn2Ag, computed with PBE.

Properties
- Size of the total moment: 1.43 μB/atom

a = 4.6987 Å, b = 4.6987 Å, c = 5.0697 Å
α = 79.71°, β = 79.71°, γ = 35.50°
Closest atoms and distances in Å follow each position.
Sites, in units of the cell vectors:
Ta (0.7500, 0.7500, 0.7500)  6 Mn 2.72-2.73, 2 Ta 2.86, 4 Ag 2.91
Ag (0.2500, 0.2500, 0.2500)  6 Mn 2.78-2.82, 2 Ag 2.86, 4 Ta 2.91
Mn (0.0002, 0.0002, 0.9835)  3 Ta 2.72-2.73, 4 Mn 2.77-2.86, 3 Ag 2.78-2.82
Mn (0.4998, 0.4998, 0.5165)  3 Ta 2.72-2.73, 4 Mn 2.77-2.86, 3 Ag 2.78-2.82

=====

(two)
An optimized crystal structure of TaMn2Ag, computed with PBE.

Properties
- Size of the total moment: 1.50 μB/atom

a = 9.2129 Å, b = 9.2129 Å, c = 9.2129 Å
α = 17.90°, β = 17.90°, γ = 17.90°
Closest atoms and distances in Å follow each position.
Sites, in units of the cell vectors:
Ta (0.2500, 0.2500, 0.2500)  6 Mn 2.77, 6 Ta 2.87
Ag (0.7500, 0.7500, 0.7500)  6 Mn 2.84, 6 Ag 2.87
Mn (0.5018, 0.5018, 0.5018)  3 Ta 2.77, 3 Ag 2.84, 6 Mn 2.87
Mn (0.9982, 0.9982, 0.9982)  3 Ta 2.77, 3 Ag 2.84, 6 Mn 2.87

=====

(three)
An optimized crystal structure of TaMn2Ag, computed with PBE.

Properties
- Size of the total moment: 0.53 μB/atom

a = 5.2871 Å, b = 5.2871 Å, c = 4.3131 Å
α = 65.87°, β = 65.87°, γ = 33.29°
Closest atoms and distances in Å follow each position.
Sites, in units of the cell vectors:
Ag (0.2656, 0.2656, 0.2349)  6 Mn 2.66-2.75, 2 Ta 2.92
Mn (0.0168, 0.0168, 0.9826)  2 Mn 2.44, 4 Ta 2.64
Mn (0.7249, 0.7249, 0.7756)  2 Mn 2.44, 4 Ag 2.66
Ta (0.4927, 0.4927, 0.5068)  6 Mn 2.64-2.88, 2 Ag 2.92

=====

It turns out (three) is the most stable, with the second structure 14 meV/atom higher.

=====

(one)
An optimized crystal structure of TaMnAg3, computed with PBE.

Properties
- Size of the total moment: 0.00 μB/atom

a = 4.6570 Å, b = 4.6570 Å, c = 4.6570 Å
α = 90.00°, β = 90.00°, γ = 90.00°
Closest atoms and distances in Å follow each position.
Sites, in units of the cell vectors:
Ta (0.5000, 0.5000, 0.5000)  12 Ag 3.29
Mn (0.0000, 0.0000, 0.0000)  6 Ag 2.33
Ag (0.0000, 0.0000, 0.5000)  2 Mn 2.33
Ag (0.0000, 0.5000, 0.0000)  2 Mn 2.33
Ag (0.5000, 0.0000, 0.0000)  2 Mn 2.33

=====

(two)
An optimized crystal structure of TaMnAg3, computed with PBE.

Properties
- Size of the total moment: 0.02 μB/atom

a = 5.0605 Å, b = 5.0605 Å, c = 5.0605 Å
α = 90.00°, β = 90.00°, γ = 90.00°
Closest atoms and distances in Å follow each position.
Sites, in units of the cell vectors:
Ag (0.0000, 0.0000, 0.5000)  2 Ta 2.53
Ag (0.5000, 0.0000, 0.0000)  2 Ta 2.53
Ag (0.0000, 0.5000, 0.0000)  2 Ta 2.53
Ta (0.0000, 0.0000, 0.0000)  6 Ag 2.53
Mn (0.5000, 0.5000, 0.5000)  12 Ag 3.58

=====

It turns out (one) is the most stable, with the second structure 402 meV/atom higher.

=====

(one)
An optimized crystal structure of Ta3MnAg, computed with PBE.

Properties
- Size of the total moment: 0.00 μB/atom

a = 4.5945 Å, b = 4.5945 Å, c = 4.5945 Å
α = 90.00°, β = 90.00°, γ = 90.00°
Closest atoms and distances in Å follow each position.
Sites, in units of the cell vectors:
Ta (0.0000, 0.0000, 0.5000)  2 Mn 2.30
Ta (0.0000, 0.5000, 0.0000)  2 Mn 2.30
Ta (0.5000, 0.0000, 0.0000)  2 Mn 2.30
Ag (0.5000, 0.5000, 0.5000)  12 Ta 3.25
Mn (0.0000, 0.0000, 0.0000)  6 Ta 2.30

=====

(two)
An optimized crystal structure of Ta3MnAg, computed with PBE.

Properties
- Size of the total moment: 0.04 μB/atom

a = 4.8312 Å, b = 4.8312 Å, c = 4.8312 Å
α = 90.00°, β = 90.00°, γ = 90.00°
Closest atoms and distances in Å follow each position.
Sites, in units of the cell vectors:
Ta (0.5000, 0.0000, 0.0000)  2 Ag 2.42
Ta (0.0000, 0.0000, 0.5000)  2 Ag 2.42
Ta (0.0000, 0.5000, 0.0000)  2 Ag 2.42
Ag (0.0000, 0.0000, 0.0000)  6 Ta 2.42
Mn (0.5000, 0.5000, 0.5000)  12 Ta 3.42

=====

It turns out (one) is the most stable, with the second structure 1652 meV/atom higher.

=====

(one)
An optimized crystal structure of MnTcAg2, computed with PBE.

Properties
- Size of the total moment: 0.50 μB/atom

a = 4.7213 Å, b = 4.7213 Å, c = 4.7213 Å
α = 127.40°, β = 127.40°, γ = 77.59°
Closest atoms and distances in Å follow each position.
Sites, in units of the cell vectors:
Ag (0.0000, 0.0000, 0.0000)  4 Ag 2.79, 4 Tc 2.79, 4 Mn 2.96
Ag (0.2500, 0.7500, 0.5000)  4 Ag 2.79, 4 Mn 2.79, 4 Tc 2.96
Tc (0.7500, 0.2500, 0.5000)  4 Mn 2.79, 8 Ag 2.79-2.96
Mn (0.5000, 0.5000, 0.0000)  4 Tc 2.79, 8 Ag 2.79-2.96

=====

(two)
An optimized crystal structure of MnTcAg2, computed with PBE.

Properties
- Size of the total moment: 0.81 μB/atom

a = 5.0540 Å, b = 5.0540 Å, c = 4.8517 Å
α = 81.35°, β = 81.35°, γ = 31.50°
Closest atoms and distances in Å follow each position.
Sites, in units of the cell vectors:
Mn (0.7500, 0.7500, 0.7500)  2 Mn 2.74, 4 Tc 2.79, 6 Ag 2.88-2.89
Ag (0.9998, 0.9998, 0.0000)  6 Ag 2.74-2.79, 3 Mn 2.88-2.89, 3 Tc 2.88-2.89
Ag (0.5002, 0.5002, 0.5000)  6 Ag 2.74-2.79, 3 Mn 2.88-2.89, 3 Tc 2.88-2.89
Tc (0.2500, 0.2500, 0.2500)  2 Tc 2.74, 4 Mn 2.79, 6 Ag 2.88-2.89

=====

(three)
An optimized crystal structure of MnTcAg2, computed with PBE.

Properties
- Size of the total moment: 0.53 μB/atom

a = 4.5026 Å, b = 4.5026 Å, c = 4.5026 Å
α = 60.00°, β = 60.00°, γ = 60.00°
Closest atoms and distances in Å follow each position.
Sites, in units of the cell vectors:
Mn (0.5000, 0.5000, 0.5000)  4 Tc 2.76, 4 Ag 2.76
Tc (0.2500, 0.2500, 0.2500)  4 Mn 2.76, 4 Ag 2.76
Ag (0.0000, 0.0000, 0.0000)  4 Tc 2.76, 4 Ag 2.76
Ag (0.7500, 0.7500, 0.7500)  4 Mn 2.76, 4 Ag 2.76

=====

(four)
An optimized crystal structure of MnTcAg2, computed with PBE.

Properties
- Size of the total moment: 0.45 μB/atom

a = 5.3040 Å, b = 5.3040 Å, c = 5.3040 Å
α = 146.67°, β = 127.29°, γ = 63.81°
Closest atoms and distances in Å follow each position.
Sites, in units of the cell vectors:
Ag (0.7340, 0.2340, 0.5000)  2 Mn 2.76, 4 Tc 2.84, 4 Ag 2.88-3.04
Ag (0.0058, 0.0058, 0.0000)  4 Mn 2.81, 6 Ag 2.88-3.13, 4 Tc 2.91-3.10
Mn (0.4786, 0.4786, 0.0000)  2 Tc 2.34
Tc (0.2815, 0.7815, 0.5000)  2 Mn 2.34

=====

It turns out (two) is the most stable, with the second structure 39 meV/atom higher.

=====

(one)
An optimized crystal structure of MnAgTe4, computed with PBE.

Properties
- Size of the total moment: 0.39 μB/atom

a = 3.2392 Å, b = 7.9549 Å, c = 12.8408 Å
α = 103.64°, β = 90.00°, γ = 90.00°
Closest atoms and distances in Å follow each position.
Sites, in units of the cell vectors:
Te (0.5000, 0.1261, 0.3756)  2 Mn 2.63
Te (0.4999, 0.1724, 0.8633)  1 Mn 2.78, 2 Ag 2.95
Te (0.0000, 0.3739, 0.1244)  2 Mn 2.63
Te (0.5000, 0.8739, 0.6244)  2 Mn 2.63
Te (0.0001, 0.6724, 0.3633)  1 Mn 2.78, 2 Ag 2.95
Te (0.5001, 0.8276, 0.1367)  1 Mn 2.78, 2 Ag 2.95
Te (0.9999, 0.3276, 0.6367)  1 Mn 2.78, 2 Ag 2.95
Te (0.0000, 0.6261, 0.8756)  2 Mn 2.63
Ag (0.0000, 0.0000, 0.0000)  6 Te 2.95-3.03, 2 Ag 3.24
Ag (0.5000, 0.5000, 0.5000)  6 Te 2.95-3.03, 2 Ag 3.24
Mn (0.5000, 0.5000, 0.0000)  6 Te 2.63-2.78
Mn (0.0000, 0.0000, 0.5000)  6 Te 2.63-2.78

=====

(two)
An optimized crystal structure of MnAgTe4, computed with PBE.

Properties
- Size of the total moment: 0.84 μB/atom

a = 6.3318 Å, b = 6.3318 Å, c = 6.3318 Å
α = 60.00°, β = 60.00°, γ = 60.00°
Closest atoms and distances in Å follow each position.
Sites, in units of the cell vectors:
Mn (0.0000, 0.0000, 0.0000)  12 Te 3.71, 4 Ag 3.88
Ag (0.7500, 0.7500, 0.7500)  12 Te 3.71, 4 Mn 3.88
Te (0.3749, 0.3749, 0.3749)  6 Te 3.16-3.17
Te (0.3749, 0.3749, 0.8754)  6 Te 3.16-3.17
Te (0.8754, 0.3749, 0.3749)  6 Te 3.16-3.17
Te (0.3749, 0.8754, 0.3749)  6 Te 3.16-3.17

=====

It turns out (one) is the most stable, with the second structure 749 meV/atom higher.

=====

(one)
An optimized crystal structure of TiMn2Ag, computed with PBE.

Properties
- Size of the total moment: 1.17 μB/atom

a = 4.3916 Å, b = 4.3916 Å, c = 4.3916 Å
α = 60.00°, β = 60.00°, γ = 60.00°
Closest atoms and distances in Å follow each position.
Sites, in units of the cell vectors:
Mn (0.7500, 0.7500, 0.7500)  4 Ti 2.69, 4 Ag 2.69
Mn (0.2500, 0.2500, 0.2500)  4 Ti 2.69, 4 Ag 2.69
Ti (0.0000, 0.0000, 0.0000)  8 Mn 2.69
Ag (0.5000, 0.5000, 0.5000)  8 Mn 2.69

=====

(two)
An optimized crystal structure of TiMn2Ag, computed with PBE.

Properties
- Size of the total moment: 0.00 μB/atom

a = 3.7417 Å, b = 3.7417 Å, c = 9.2172 Å
α = 78.29°, β = 78.29°, γ = 90.00°
Closest atoms and distances in Å follow each position.
Sites, in units of the cell vectors:
Ag (0.0000, 0.0000, 0.0000)  4 Ti 2.65, 4 Mn 2.72
Ag (0.7500, 0.2500, 0.5000)  4 Ti 2.65, 4 Mn 2.72
Mn (0.5330, 0.1250, 0.2500)  2 Mn 2.21, 2 Ti 2.47
Mn (0.2170, 0.6250, 0.2500)  2 Mn 2.21, 2 Ti 2.47
Mn (0.8750, 0.7830, 0.7500)  2 Mn 2.21, 2 Ti 2.47
Mn (0.3750, 0.4670, 0.7500)  2 Mn 2.21, 2 Ti 2.47
Ti (0.2500, 0.7500, 0.5000)  4 Mn 2.47, 4 Ag 2.65
Ti (0.5000, 0.5000, 0.0000)  4 Mn 2.47, 4 Ag 2.65

=====

It turns out (one) is the most stable, with the second structure 499 meV/atom higher.